1.
A plane-wave DFT calculation with GGA-PBEsol was carried out for crystalline ZnTeOs2 at its relaxed geometry.

Properties
* formation energy (no corrections): 0.5797 eV per atom
* V: 62.6 Å³/cell
* distance to the lowest polymorph of the same formula: 0 meV per atom
* raw total energy: -27.2 eV for the cell shown

Cell lengths 3.0051, 4.4987, 4.9995 Å; angles 100.05, 90.00, 109.51 degrees
Sites, in units of the cell vectors:
Te 0.0000 0.0000 0.5000
Os 0.2524 0.5049 0.2330
Os 0.7476 0.4951 0.7670
Zn 0.5000 0.0000 0.0000


2.
A plane-wave DFT calculation with GGA-PBEsol was carried out for crystalline ZnTeOs2 at its relaxed geometry.

Properties
* formation energy (no corrections): 0.7859 eV per atom
* V: 62.5 Å³/cell
* distance to the lowest polymorph of the same formula: 206 meV per atom
* raw total energy: -26.4 eV for the cell shown

Cell lengths 3.9574, 3.9574, 4.8740 Å; angles 113.95, 113.95, 90.00 degrees
Sites, in units of the cell vectors:
Te 0.5000 0.5000 0.0000
Os 0.0000 0.0000 0.0000
Os 0.7500 0.2500 0.5000
Zn 0.2500 0.7500 0.5000


3.
A plane-wave DFT calculation with GGA-PBEsol was carried out for crystalline ZrTeOs2 at its relaxed geometry.

Properties
* formation energy (no corrections): 0.2752 eV per atom
* V: 68.5 Å³/cell
* raw total energy: -35.9 eV for the cell shown

Cell lengths 3.1227, 4.5976, 4.7695 Å; angles 90.00, 90.00, 90.00 degrees
Sites, in units of the cell vectors:
Os 0.0000 0.0000 0.0000
Os 0.5000 0.0000 0.5000
Zr 0.0000 0.5000 0.5000
Te 0.5000 0.5000 0.0000


4.
A plane-wave DFT calculation with GGA-PBEsol was carried out for crystalline ZrTeOs2 at its relaxed geometry.

Properties
* formation energy (no corrections): 0.1920 eV per atom
* V: 68.9 Å³/cell
* raw total energy: -36.3 eV for the cell shown

Cell lengths 3.2285, 4.6419, 4.6419 Å; angles 98.11, 90.00, 90.00 degrees
Sites, in units of the cell vectors:
Os 0.0000 0.5000 0.0000
Os 0.0000 0.0000 0.5000
Zr 0.5000 0.5000 0.5000
Te 0.5000 0.0000 0.0000